Entry 1:
An optimized crystal structure of K2Hg2F7, computed with PBE.

Calculated values
Formation energy without anion corrections = -1.75 eV/atom
Spin magnetization = 1.09 μB/cell
VASP energy = -0.117 hartree per atom
Energy above the most stable polymorph in this dataset = 0.60 eV per formula unit
Symmetry = No. 12

a b c (Å): 6.3204 6.3204 6.1508
angles (deg): 98.01 98.01 83.99
Last column: nearest neighbours and their distance in Å.
Fractional positions:
K: 0.2260 0.2260 0.0102  7 F 2.59-2.77
K: 0.7740 0.7740 0.9898  7 F 2.59-2.77
Hg: 0.2237 0.7763 0.5000  2 F 2.04
Hg: 0.7763 0.2237 0.5000  2 F 2.04
F: 0.0377 0.0377 0.2798  2 Hg 2.39, 1 K 2.64
F: 0.0576 0.5594 0.2829  1 Hg 2.04
F: 0.4406 0.9424 0.7171  1 Hg 2.04
F: 0.5000 0.5000 0.0000  2 K 2.59
F: 0.5594 0.0576 0.2829  1 Hg 2.04
F: 0.9424 0.4406 0.7171  1 Hg 2.04
F: 0.9623 0.9623 0.7202  2 Hg 2.39, 1 K 2.64

=====

Entry 2:
An optimized crystal structure of KHg2F8, computed with PBE.

Calculated values
Formation energy without anion corrections = -1.30 eV/atom
Spin magnetization = 1.12 μB/cell
VASP energy = -0.104 hartree per atom
Energy above the most stable polymorph in this dataset = 0.60 eV per formula unit
Symmetry = No. 12

a b c (Å): 7.1035 7.1035 4.2357
angles (deg): 91.42 91.42 124.25
Last column: nearest neighbours and their distance in Å.
Fractional positions:
K: 0.0000 0.0000 0.0000  10 F 2.81-3.07
Hg: 0.3338 0.6662 0.5000  4 F 2.07-2.18
Hg: 0.6662 0.3338 0.5000  4 F 2.07-2.18
F: 0.0466 0.3362 0.5151  1 Hg 2.07
F: 0.2918 0.7082 0.0000  2 Hg 2.18
F: 0.3362 0.0466 0.5151  1 Hg 2.07
F: 0.4135 0.4135 0.1804  1 F 1.96
F: 0.5865 0.5865 0.8196  1 F 1.96
F: 0.6638 0.9534 0.4849  1 Hg 2.07
F: 0.7082 0.2918 0.0000  2 Hg 2.18
F: 0.9534 0.6638 0.4849  1 Hg 2.07

=====

Entry 3:
An optimized crystal structure of KHg2F, computed with PBE.

Calculated values
Formation energy without anion corrections = -0.63 eV/atom
Spin magnetization = 0.00 μB/cell
VASP energy = -0.056 hartree per atom
Energy above the most stable polymorph in this dataset = 2.76 eV per formula unit
Symmetry = No. 166

a b c (Å): 4.2903 4.2903 26.9274
angles (deg): 90.00 90.00 120.00
Last column: nearest neighbours and their distance in Å.
Fractional positions:
K: 0.0000 0.0000 0.0000  2 Hg 3.14
K: 0.3333 0.6667 0.6667  2 Hg 3.14
K: 0.6667 0.3333 0.3333  2 Hg 3.14
Hg: 0.0000 0.0000 0.1167  3 F 2.82, 1 K 3.14
Hg: 0.0000 0.0000 0.8833  3 F 2.82, 1 K 3.14
Hg: 0.3333 0.6667 0.5500  3 F 2.82, 1 K 3.14
Hg: 0.3333 0.6667 0.7833  3 F 2.82, 1 K 3.14
Hg: 0.6667 0.3333 0.2167  3 F 2.82, 1 K 3.14
Hg: 0.6667 0.3333 0.4500  3 F 2.82, 1 K 3.14
F: 0.0000 0.0000 0.5000  6 Hg 2.82
F: 0.3333 0.6667 0.1667  6 Hg 2.82
F: 0.6667 0.3333 0.8333  6 Hg 2.82

=====

Entry 4:
An optimized crystal structure of K5Hg3F12, computed with PBE.

Calculated values
Formation energy without anion corrections = -2.04 eV/atom
Spin magnetization = 4.70 μB/cell
VASP energy = -0.128 hartree per atom
Energy above the most stable polymorph in this dataset = 1.21 eV per formula unit
Symmetry = No. 230

a b c (Å): 13.1819 13.1819 13.1819
angles (deg): 109.47 109.47 109.47
Last column: nearest neighbours and their distance in Å.
Fractional positions:
K: 0.0000 0.0000 0.0000  6 F 2.65
K: 0.0000 0.0000 0.5000  6 F 2.65
K: 0.0000 0.5000 0.0000  6 F 2.65
K: 0.0000 0.5000 0.5000  6 F 2.65
K: 0.1250 0.7500 0.8750  4 F 2.74
K: 0.1250 0.8750 0.2500  4 F 2.74
K: 0.2500 0.1250 0.8750  4 F 2.74
K: 0.2500 0.6250 0.3750  4 F 2.74
K: 0.3750 0.2500 0.6250  4 F 2.74
K: 0.3750 0.6250 0.7500  4 F 2.74
K: 0.5000 0.0000 0.0000  6 F 2.65
K: 0.5000 0.0000 0.5000  6 F 2.65
K: 0.5000 0.5000 0.0000  6 F 2.65
K: 0.5000 0.5000 0.5000  6 F 2.65
K: 0.6250 0.3750 0.2500  4 F 2.74
K: 0.6250 0.7500 0.3750  4 F 2.74
K: 0.7500 0.3750 0.6250  4 F 2.74
K: 0.7500 0.8750 0.1250  4 F 2.74
K: 0.8750 0.1250 0.7500  4 F 2.74
K: 0.8750 0.2500 0.1250  4 F 2.74
Hg: 0.1250 0.2500 0.3750  4 F 2.17
Hg: 0.1250 0.3750 0.7500  4 F 2.17
Hg: 0.2500 0.3750 0.1250  4 F 2.17
Hg: 0.2500 0.8750 0.6250  4 F 2.17
Hg: 0.3750 0.1250 0.2500  4 F 2.17
Hg: 0.3750 0.7500 0.1250  4 F 2.17
Hg: 0.6250 0.2500 0.8750  4 F 2.17
Hg: 0.6250 0.8750 0.7500  4 F 2.17
Hg: 0.7500 0.1250 0.3750  4 F 2.17
Hg: 0.7500 0.6250 0.8750  4 F 2.17
Hg: 0.8750 0.6250 0.2500  4 F 2.17
Hg: 0.8750 0.7500 0.6250  4 F 2.17
F: 0.0281 0.6398 0.2165  1 Hg 2.17
F: 0.0281 0.8883 0.8116  1 Hg 2.17
F: 0.0767 0.1884 0.7165  1 Hg 2.17
F: 0.0767 0.3883 0.3602  1 Hg 2.17
F: 0.1117 0.1884 0.9719  1 Hg 2.17
F: 0.1117 0.4233 0.1398  1 Hg 2.17
F: 0.1398 0.1117 0.4233  1 Hg 2.17
F: 0.1398 0.5281 0.7165  1 Hg 2.17
F: 0.1884 0.7165 0.0767  1 Hg 2.17
F: 0.1884 0.9719 0.1117  1 Hg 2.17
F: 0.2165 0.0281 0.6398  1 Hg 2.17
F: 0.2165 0.6884 0.5767  1 Hg 2.17
F: 0.2835 0.8602 0.4719  1 Hg 2.17
F: 0.2835 0.9233 0.8116  1 Hg 2.17
F: 0.3116 0.3883 0.5281  1 Hg 2.17
F: 0.3116 0.4233 0.7835  1 Hg 2.17
F: 0.3602 0.0767 0.3883  1 Hg 2.17
F: 0.3602 0.7835 0.9719  1 Hg 2.17
F: 0.3883 0.3602 0.0767  1 Hg 2.17
F: 0.3883 0.5281 0.3116  1 Hg 2.17
F: 0.4233 0.1398 0.1117  1 Hg 2.17
F: 0.4233 0.7835 0.3116  1 Hg 2.17
F: 0.4719 0.2835 0.8602  1 Hg 2.17
F: 0.4719 0.6884 0.6117  1 Hg 2.17
F: 0.5281 0.3116 0.3883  1 Hg 2.17
F: 0.5281 0.7165 0.1398  1 Hg 2.17
F: 0.5767 0.2165 0.6884  1 Hg 2.17
F: 0.5767 0.8602 0.8883  1 Hg 2.17
F: 0.6117 0.4719 0.6884  1 Hg 2.17
F: 0.6117 0.6398 0.9233  1 Hg 2.17
F: 0.6398 0.2165 0.0281  1 Hg 2.17
F: 0.6398 0.9233 0.6117  1 Hg 2.17
F: 0.6884 0.5767 0.2165  1 Hg 2.17
F: 0.6884 0.6117 0.4719  1 Hg 2.17
F: 0.7165 0.0767 0.1884  1 Hg 2.17
F: 0.7165 0.1398 0.5281  1 Hg 2.17
F: 0.7835 0.3116 0.4233  1 Hg 2.17
F: 0.7835 0.9719 0.3602  1 Hg 2.17
F: 0.8116 0.0281 0.8883  1 Hg 2.17
F: 0.8116 0.2835 0.9233  1 Hg 2.17
F: 0.8602 0.4719 0.2835  1 Hg 2.17
F: 0.8602 0.8883 0.5767  1 Hg 2.17
F: 0.8883 0.5767 0.8602  1 Hg 2.17
F: 0.8883 0.8116 0.0281  1 Hg 2.17
F: 0.9233 0.6117 0.6398  1 Hg 2.17
F: 0.9233 0.8116 0.2835  1 Hg 2.17
F: 0.9719 0.1117 0.1884  1 Hg 2.17
F: 0.9719 0.3602 0.7835  1 Hg 2.17

=====

Entry 5:
An optimized crystal structure of KHgF3, computed with PBE.

Calculated values
Formation energy without anion corrections = -1.87 eV/atom
Spin magnetization = 0.00 μB/cell
VASP energy = -0.120 hartree per atom
Symmetry = No. 194

a b c (Å): 4.2865 4.2865 9.7226
angles (deg): 90.00 90.00 120.00
Last column: nearest neighbours and their distance in Å.
Fractional positions:
K: 0.3333 0.6667 0.2500  3 F 2.47
K: 0.6667 0.3333 0.7500  3 F 2.47
Hg: 0.0000 0.0000 0.0000  8 F 2.43-2.54
Hg: 0.0000 0.0000 0.5000  8 F 2.43-2.54
F: 0.0000 0.0000 0.2500  2 Hg 2.43, 3 K 2.47
F: 0.0000 0.0000 0.7500  2 Hg 2.43, 3 K 2.47
F: 0.3333 0.6667 0.5587  3 Hg 2.54, 3 F 2.73
F: 0.3333 0.6667 0.9413  3 Hg 2.54, 3 F 2.73
F: 0.6667 0.3333 0.0587  3 Hg 2.54, 3 F 2.73
F: 0.6667 0.3333 0.4413  3 Hg 2.54, 3 F 2.73

=====

Entry 6:
An optimized crystal structure of KHgF, computed with PBE.

Calculated values
Formation energy without anion corrections = -1.66 eV/atom
Spin magnetization = 0.00 μB/cell
VASP energy = -0.101 hartree per atom
Energy above the most stable polymorph in this dataset = 0.31 eV per formula unit
Symmetry = No. 12

a b c (Å): 8.7925 3.6037 10.7776
angles (deg): 90.00 93.29 90.00
Last column: nearest neighbours and their distance in Å.
Fractional positions:
K: 0.1162 0.0000 0.1114  3 F 2.51-2.61
K: 0.3838 0.5000 0.8886  3 F 2.51-2.61
K: 0.6162 0.5000 0.1114  3 F 2.51-2.61
K: 0.8838 0.0000 0.8886  3 F 2.51-2.61
Hg: 0.1472 0.0000 0.6050  5 Hg 3.34-3.60, 2 F 3.63
Hg: 0.3528 0.5000 0.3950  5 Hg 3.34-3.60, 2 F 3.63
Hg: 0.6472 0.5000 0.6050  5 Hg 3.34-3.60, 2 F 3.63
Hg: 0.8528 0.0000 0.3950  5 Hg 3.34-3.60, 2 F 3.63
F: 0.0985 0.5000 0.8929  3 K 2.51-2.61
F: 0.4015 0.0000 0.1071  3 K 2.51-2.61
F: 0.5985 0.0000 0.8929  3 K 2.51-2.61
F: 0.9015 0.5000 0.1071  3 K 2.51-2.61

=====

Entry 7:
An optimized crystal structure of K2Hg2F5, computed with PBE.

Calculated values
Formation energy without anion corrections = -1.89 eV/atom
Spin magnetization = 0.00 μB/cell
VASP energy = -0.119 hartree per atom
Symmetry = No. 12

a b c (Å): 6.7898 6.7898 7.0513
angles (deg): 120.04 120.04 40.11
Last column: nearest neighbours and their distance in Å.
Fractional positions:
K: 0.1207 0.1207 0.2911  7 F 2.67-2.94
K: 0.8793 0.8793 0.7089  7 F 2.67-2.94
Hg: 0.3805 0.3805 0.1747  4 F 2.34-2.42
Hg: 0.6195 0.6195 0.8253  4 F 2.34-2.42
F: 0.1348 0.1348 0.9084  3 Hg 2.38-2.66
F: 0.3671 0.3671 0.4924  1 Hg 2.34
F: 0.5000 0.5000 0.0000  2 Hg 2.42
F: 0.6329 0.6329 0.5076  1 Hg 2.34
F: 0.8652 0.8652 0.0916  3 Hg 2.38-2.66

=====

Entry 8:
An optimized crystal structure of KHgF, computed with PBE.

Calculated values
Formation energy without anion corrections = -1.70 eV/atom
Spin magnetization = 0.00 μB/cell
VASP energy = -0.102 hartree per atom
Energy above the most stable polymorph in this dataset = 0.19 eV per formula unit
Symmetry = No. 107

a b c (Å): 3.6712 3.6712 13.7760
angles (deg): 90.00 90.00 90.00
Last column: nearest neighbours and their distance in Å.
Fractional positions:
K: 0.0000 0.0000 0.0000  4 F 2.61
K: 0.5000 0.5000 0.5000  4 F 2.61
Hg: 0.0000 0.0000 0.2713  1 F 2.93
Hg: 0.5000 0.5000 0.7713  1 F 2.93
F: 0.0000 0.0000 0.4837  4 K 2.61
F: 0.5000 0.5000 0.9837  4 K 2.61

=====

> Number 6 is which compound?

KHgF